Here is crystalline Tm4FeAg3 at its relaxed geometry from Alexandria via LeMat-Bulk. Energies are from PBE-GGA.

The calculation puts the volume at 21.94 Å³/atom. The theoretical density comes out at 9.984 g/cm3. The final energy comes out at -4.594 eV per atom. The magnetization comes out at 0.2006 μB per atom. As for the density of states at the Fermi level: 8.002 states/eV/cell. The formation energy comes out at -1.85 eV/f.u.

The structure belongs to space group P4/mmm (No. 123); the cell edges are 3.4902, 3.4902 and 14.4070 Å and the angles 90.00°, 90.00° and 90.00°. The asymmetric unit holds Tm at (0.0000, 0.0000, 0.1112), Tm at (0.0000, 0.0000, 0.3716), Fe at (0.5000, 0.5000, 0.0000), Ag at (0.5000, 0.5000, 0.2433) and Ag at (0.5000, 0.5000, 0.5000).

=====

Here is crystalline Tm5Fe2Ag2 at its relaxed geometry from Alexandria via LeMat-Bulk. Energies are from PBE-GGA.

The calculation puts the volume at 22.50 Å³/atom. The theoretical density comes out at 9.613 g/cm3. The final energy comes out at -5.148 eV per atom. The magnetization comes out at 0.1199 μB per atom. As for the density of states at the Fermi level: 35.824 states/eV/cell. The formation energy comes out at -1.34 eV/f.u.

The structure belongs to space group Cmce (No. 64); the cell edges are 16.0377, 7.0723 and 7.1401 Å and the angles 90.00°, 90.00° and 90.00°. The asymmetric unit holds Tm at (0.0000, 0.0000, 0.0000), Tm at (0.1247, 0.1814, 0.3175), Fe at (0.0000, 0.1063, 0.6089) and Ag at (0.2215, 0.0000, 0.0000).

=====

Here is crystalline Tm3FeAg at its relaxed geometry from Alexandria via LeMat-Bulk. Energies are from PBE-GGA.

The calculation puts the volume at 23.34 Å³/atom. The theoretical density comes out at 9.542 g/cm3. The final energy comes out at -5.076 eV per atom. The magnetization comes out at 0.1073 μB per atom. As for the density of states at the Fermi level: 16.454 states/eV/cell. The formation energy comes out at -0.65 eV/f.u.

The structure belongs to space group C2/m (No. 12); the cell edges are 9.9096, 6.0760 and 8.7499 Å and the angles 90.00°, 117.63° and 90.00°. The asymmetric unit holds Tm at (0.0242, 0.0000, 0.2236), Tm at (0.1898, 0.5000, 0.8707), Tm at (0.2059, 0.5000, 0.3239), Fe at (0.0000, 0.3160, 0.0000) and Ag at (0.0000, 0.2759, 0.5000).

=====

Here is crystalline TmFeAg at its relaxed geometry from Alexandria via LeMat-Bulk. Energies are from PBE-GGA.

The calculation puts the volume at 19.21 Å³/atom. The theoretical density comes out at 9.584 g/cm3. The final energy comes out at -5.269 eV per atom. The magnetization comes out at 0.0000 μB per atom. As for the density of states at the Fermi level: 10.558 states/eV/cell. The formation energy comes out at -0.02 eV/f.u.

The structure belongs to space group C2/m (No. 12); the cell edges are 12.5413, 3.8309 and 4.8917 Å and the angles 90.00°, 101.22° and 90.00°. The asymmetric unit holds Tm at (0.1272, 0.0000, 0.3311), Fe at (0.2324, 0.0000, 0.9042) and Ag at (0.0711, 0.5000, 0.7803).

=====

Here is crystalline Tm2FeAg at its relaxed geometry from Alexandria via LeMat-Bulk. Energies are from PBE-GGA.

The calculation puts the volume at 20.20 Å³/atom. The theoretical density comes out at 10.306 g/cm3. The final energy comes out at -5.118 eV per atom. The magnetization comes out at 0.0000 μB per atom. As for the density of states at the Fermi level: 10.085 states/eV/cell. The formation energy comes out at -0.22 eV/f.u. The energy above the most stable polymorph in this dataset comes out at 0.1089 eV per atom.

The structure belongs to space group Fm-3m (No. 225); the cell edges are 6.8630, 6.8630 and 6.8630 Å and the angles 90.00°, 90.00° and 90.00°. The asymmetric unit holds Tm at (0.2500, 0.2500, 0.2500), Fe at (0.0000, 0.0000, 0.0000) and Ag at (0.0000, 0.0000, 0.5000).

=====

Here is crystalline Tm8FeAg2 at its relaxed geometry from Alexandria via LeMat-Bulk. Energies are from PBE-GGA.

The calculation puts the volume at 25.31 Å³/atom. The theoretical density comes out at 9.679 g/cm3. The final energy comes out at -4.644 eV per atom. The magnetization comes out at 0.0000 μB per atom. As for the density of states at the Fermi level: 17.869 states/eV/cell. The formation energy comes out at -1.15 eV/f.u.

The structure belongs to space group C2/m (No. 12); the cell edges are 16.9654, 5.1629 and 6.7173 Å and the angles 90.00°, 108.83° and 90.00°. The asymmetric unit holds Tm at (0.0263, 0.0000, 0.2957), Tm at (0.0903, 0.5000, 0.9212), Tm at (0.1569, 0.5000, 0.4613), Tm at (0.1982, 0.0000, 0.7980), Fe at (0.0000, 0.5000, 0.5000) and Ag at (0.1828, 0.0000, 0.2084).

=====

Here is crystalline Tm2FeAg at its relaxed geometry from Alexandria via LeMat-Bulk. Energies are from PBE-GGA.

The calculation puts the volume at 20.30 Å³/atom. The theoretical density comes out at 10.258 g/cm3. The final energy comes out at -5.227 eV per atom. The magnetization comes out at 0.0000 μB per atom. As for the density of states at the Fermi level: 2.078 states/eV/cell. The formation energy comes out at -0.65 eV/f.u. The energy above the most stable polymorph in this dataset comes out at 0.0000 eV per atom.

The structure belongs to space group P4/mmm (No. 123); the cell edges are 3.3022, 3.3022 and 7.4463 Å and the angles 90.00°, 90.00° and 90.00°. The asymmetric unit holds Tm at (0.0000, 0.0000, 0.2148), Fe at (0.5000, 0.5000, 0.0000) and Ag at (0.5000, 0.5000, 0.5000).

=====

Here is crystalline Tm8Fe2Ag at its relaxed geometry from Alexandria via LeMat-Bulk. Energies are from PBE-GGA.

The calculation puts the volume at 24.99 Å³/atom. The theoretical density comes out at 9.490 g/cm3. The final energy comes out at -5.064 eV per atom. The magnetization comes out at 0.0000 μB per atom. As for the density of states at the Fermi level: 20.296 states/eV/cell. The formation energy comes out at -0.15 eV/f.u.

The structure belongs to space group Cm (No. 8); the cell edges are 8.4474, 12.4472 and 5.4072 Å and the angles 90.00°, 104.76° and 90.00°. The asymmetric unit holds Tm at (0.0000, 0.0000, 0.0000), Tm at (0.0796, 0.3667, 0.7855), Tm at (0.1820, 0.1334, 0.6124), Tm at (0.2622, 0.5000, 0.3984), Tm at (0.3807, 0.2417, 0.1990), Fe at (0.3810, 0.3125, 0.6993) and Ag at (0.3813, 0.0000, 0.1978).

=====

Q: What is the formula in the second record?
A: Tm5Fe2Ag2